Version one
This record from Alexandria describes a relaxed Sr2V2Rh crystal. The functional is PBE.

```
Sr2V2Rh
1.0
-1.7056 1.7056 10.1366
1.7056 -1.7056 10.1366
1.7056 1.7056 -10.1366
Sr V Rh
2 2 1
direct
0.0931 0.0931 0.0000
0.9069 0.9069 0.0000
0.2500 0.7500 0.5000
0.7500 0.2500 0.5000
0.5000 0.5000 0.0000
```

Summary:
Crystal system ... tetragonal
Space group ... No. 139
Mass density ... 5.350 g cm⁻³

=====

Version two
This record from Alexandria describes a relaxed Sr2V2Rh crystal. The functional is PBE.

```
Sr2V2Rh
1.0
8.7300 0.0000 0.0000
0.0000 8.7300 0.0000
0.0000 0.0000 3.4768
Sr V Rh
4 4 2
direct
0.2131 0.2869 0.0000
0.2869 0.7869 0.0000
0.7131 0.2131 0.0000
0.7869 0.7131 0.0000
0.0740 0.5740 0.5000
0.4260 0.0740 0.5000
0.5740 0.9260 0.5000
0.9260 0.4260 0.5000
0.0000 0.0000 0.0000
0.5000 0.5000 0.0000
```

Summary:
Crystal system ... tetragonal
Space group ... No. 127
Mass density ... 4.763 g cm⁻³

=====

Name the least stable of them. version two.

=====

Version one
This record from Alexandria describes a relaxed SrRh2W crystal. The functional is PBE.

```
SrRh2W
1.0
0.0000 3.3138 3.3138
3.3138 0.0000 3.3138
3.3138 3.3138 0.0000
Sr Rh W
1 2 1
direct
0.0000 0.0000 0.0000
0.2500 0.2500 0.2500
0.7500 0.7500 0.7500
0.5000 0.5000 0.5000
```

Summary:
Crystal system ... cubic
Space group ... No. 225
Mass density ... 10.889 g cm⁻³

=====

Version two
This record from Alexandria describes a relaxed SrRh2W crystal. The functional is PBE.

```
SrRh2W
1.0
3.5061 -3.5378 0.0000
3.5061 3.5378 0.0000
-0.0117 0.0000 2.8921
Sr Rh W
1 2 1
direct
0.0000 0.0000 0.0000
0.0000 0.5000 0.5000
0.5000 0.0000 0.5000
0.5000 0.5000 0.0000
```

Summary:
Crystal system ... monoclinic
Space group ... No. 12
Mass density ... 11.046 g cm⁻³

=====

Name the least stable of them. version one.

=====

Version one
This record from Alexandria describes a relaxed SrRh2W crystal. The functional is PBE.

```
SrRh2W
1.0
2.1507 1.2417 5.6147
-2.1507 1.2417 5.6147
0.0000 -2.4834 5.6147
Sr Rh W
1 2 1
direct
0.0000 0.0000 0.0000
0.2043 0.2043 0.2043
0.7957 0.7957 0.7957
0.5000 0.5000 0.5000
```

Summary:
Crystal system ... trigonal
Space group ... No. 166
Mass density ... 8.810 g cm⁻³

=====

Version two
This record from Alexandria describes a relaxed SrRh2W crystal. The functional is PBE.

```
SrRh2W
1.0
3.3946 0.0000 0.0000
0.0000 3.3946 0.0000
0.0000 0.0000 7.1387
Sr Rh W
1 2 1
direct
0.0000 0.0000 0.0000
0.0000 0.0000 0.4953
0.5000 0.5000 0.7143
0.5000 0.5000 0.3679
```

Summary:
Crystal system ... tetragonal
Space group ... No. 99
Mass density ... 9.634 g cm⁻³

=====

Version three
This record from Alexandria describes a relaxed SrRh2W crystal. The functional is PBE.

```
SrRh2W
1.0
2.9215 0.0000 0.0000
0.0000 2.9215 0.0000
0.0000 0.0000 8.7707
Sr Rh W
1 2 1
direct
0.0000 0.0000 0.0000
0.0000 0.0000 0.5179
0.5000 0.5000 0.7384
0.5000 0.5000 0.3286
```

Summary:
Crystal system ... tetragonal
Space group ... No. 99
Mass density ... 10.587 g cm⁻³

=====

Name the least stable of them. version three.

=====

Version one
This record from Alexandria describes a relaxed SrRh2W crystal. The functional is PBE.

```
SrRh2W
1.0
-3.7168 3.7168 3.1742
3.7168 -3.7168 3.1742
3.7168 3.7168 -3.1742
Sr Rh W
2 4 2
direct
0.0000 0.0000 0.0000
0.7500 0.2500 0.5000
0.1919 0.6250 0.0669
0.3750 0.4419 0.5669
0.5581 0.1250 0.9331
0.8750 0.8081 0.4331
0.2500 0.7500 0.5000
0.5000 0.5000 0.0000
```

Summary:
Crystal system ... tetragonal
Space group ... No. 122
Mass density ... 9.037 g cm⁻³

=====

Version two
This record from Alexandria describes a relaxed SrRh2W crystal. The functional is PBE.

```
SrRh2W
1.0
3.7429 -1.4591 0.0000
3.7429 1.4591 0.0000
-0.4885 0.0000 7.2907
Sr Rh W
1 2 1
direct
0.0000 0.0000 0.0000
0.2477 0.2477 0.6942
0.7523 0.7523 0.3058
0.5000 0.5000 0.5000
```

Summary:
Crystal system ... monoclinic
Space group ... No. 12
Mass density ... 9.952 g cm⁻³

=====

Version three
This record from Alexandria describes a relaxed SrRh2W crystal. The functional is PBE.

```
SrRh2W
1.0
-1.4404 2.4003 5.3627
1.4404 -2.4003 5.3627
1.4404 2.4003 -5.3627
Sr Rh W
1 2 1
direct
0.0000 0.0000 0.0000
0.4933 0.4933 0.0000
0.7228 0.2228 0.5000
0.2856 0.7856 0.5000
```

Summary:
Crystal system ... orthorhombic
Space group ... No. 44
Mass density ... 10.686 g cm⁻³

=====

Version four
This record from Alexandria describes a relaxed SrRh2W crystal. The functional is PBE.

```
SrRh2W
1.0
3.0699 0.0000 0.0000
0.0000 4.5636 0.0000
-0.9996 0.0000 5.7152
Sr Rh W
1 2 1
direct
0.0000 0.0000 0.0000
0.4194 0.5000 0.7836
0.4291 0.0000 0.4904
0.7982 0.5000 0.4384
```

Summary:
Crystal system ... monoclinic
Space group ... No. 6
Mass density ... 9.898 g cm⁻³

=====

Name the least stable of them. version one.

=====

Version one
This record from Alexandria describes a relaxed SrRh2W crystal. The functional is PBE.

```
SrRh2W
1.0
4.7785 -1.4828 0.0000
4.7785 1.4828 0.0000
-0.9246 0.0000 5.6048
Sr Rh W
1 2 1
direct
0.0000 0.0000 0.0000
0.4934 0.4934 0.5102
0.7603 0.7603 0.2594
0.2168 0.2168 0.6029
```

Summary:
Crystal system ... monoclinic
Space group ... No. 8
Mass density ... 9.978 g cm⁻³

=====

Version two
This record from Alexandria describes a relaxed SrRh2W crystal. The functional is PBE.

```
SrRh2W
1.0
2.8667 0.0000 0.0000
0.0000 4.1164 0.0000
0.0000 0.0000 6.7955
Sr Rh W
1 2 1
direct
0.0000 0.0000 0.0000
0.0000 0.0000 0.4996
0.5000 0.5000 0.7266
0.5000 0.5000 0.3731
```

Summary:
Crystal system ... orthorhombic
Space group ... No. 25
Mass density ... 9.883 g cm⁻³

=====

Name the least stable of them. version two.

=====

Version one
This record from Alexandria describes a relaxed SrRh2W crystal. The functional is PBE.

```
SrRh2W
1.0
-1.9461 2.6508 3.8905
1.9461 -2.6508 3.8905
1.9461 2.6508 -3.8905
Sr Rh W
1 2 1
direct
0.0000 0.0000 0.0000
0.2954 0.7954 0.5000
0.7046 0.2046 0.5000
0.5000 0.5000 0.0000
```

Summary:
Crystal system ... orthorhombic
Space group ... No. 71
Mass density ... 9.872 g cm⁻³

=====

Version two
This record from Alexandria describes a relaxed SrRh2W crystal. The functional is PBE.

```
SrRh2W
1.0
-1.9818 1.9818 4.6707
1.9818 -1.9818 4.6707
1.9818 1.9818 -4.6707
Sr Rh W
1 2 1
direct
0.0000 0.0000 0.0000
0.5000 0.5000 0.0000
0.7500 0.2500 0.5000
0.2500 0.7500 0.5000
```

Summary:
Crystal system ... tetragonal
Space group ... No. 119
Mass density ... 10.800 g cm⁻³

=====

Version three
This record from Alexandria describes a relaxed SrRh2W crystal. The functional is PBE.

```
SrRh2W
1.0
0.0000 3.2828 3.2828
3.2828 0.0000 3.2828
3.2828 3.2828 0.0000
Sr Rh W
1 2 1
direct
0.0000 0.0000 0.0000
0.5000 0.5000 0.5000
0.7500 0.7500 0.7500
0.2500 0.2500 0.2500
```

Summary:
Crystal system ... cubic
Space group ... No. 216
Mass density ... 11.200 g cm⁻³

=====

Name the least stable of them. version three.

=====

Version one
This record from Alexandria describes a relaxed SrRhW2 crystal. The functional is PBE.

```
SrRhW2
1.0
2.9050 0.0000 0.0000
0.0000 2.9050 0.0000
0.0000 0.0000 9.0204
Sr Rh W
1 1 2
direct
0.0000 0.0000 0.0000
0.5000 0.5000 0.7241
0.0000 0.0000 0.5411
0.5000 0.5000 0.3101
```

Summary:
Crystal system ... tetragonal
Space group ... No. 99
Mass density ... 12.177 g cm⁻³

=====

Version two
This record from Alexandria describes a relaxed SrRhW2 crystal. The functional is PBE.

```
SrRhW2
1.0
4.7400 -1.5374 0.0000
4.7400 1.5374 0.0000
-1.4736 0.0000 5.9314
Sr Rh W
1 1 2
direct
0.0000 0.0000 0.0000
0.7678 0.7678 0.3121
0.2058 0.2058 0.6296
0.4911 0.4911 0.4917
```

Summary:
Crystal system ... monoclinic
Space group ... No. 8
Mass density ... 10.723 g cm⁻³

=====

Name the least stable of them. version two.

=====

Version one
This record from Alexandria describes a relaxed Sr2RhW2 crystal. The functional is PBE.

```
Sr2RhW2
1.0
-2.0147 2.0147 7.4557
2.0147 -2.0147 7.4557
2.0147 2.0147 -7.4557
Sr Rh W
2 1 2
direct
0.2500 0.7500 0.5000
0.7500 0.2500 0.5000
0.0000 0.0000 0.0000
0.4271 0.4271 0.0000
0.5729 0.5729 0.0000
```

Summary:
Crystal system ... tetragonal
Space group ... No. 139
Mass density ... 8.859 g cm⁻³

=====

Version two
This record from Alexandria describes a relaxed Sr2RhW2 crystal. The functional is PBE.

```
Sr2RhW2
1.0
6.6450 0.0000 0.0000
0.0000 6.6450 0.0000
0.0000 0.0000 5.4302
Sr Rh W
4 2 4
direct
0.1778 0.3222 0.0000
0.3222 0.8222 0.0000
0.6778 0.1778 0.0000
0.8222 0.6778 0.0000
0.0000 0.0000 0.5000
0.5000 0.5000 0.5000
0.1303 0.6303 0.5000
0.3697 0.1303 0.5000
0.6303 0.8697 0.5000
0.8697 0.3697 0.5000
```

Summary:
Crystal system ... tetragonal
Space group ... No. 127
Mass density ... 8.945 g cm⁻³

=====

Name the least stable of them. version one.

=====

Version one
This record from Alexandria describes a relaxed Sr3RhW crystal. The functional is PBE.

```
Sr3RhW
1.0
5.6661 0.0000 0.0000
0.0000 5.6661 0.0000
0.0000 0.0000 5.6661
Sr Rh W
3 1 1
direct
0.0000 0.0000 0.5000
0.0000 0.5000 0.0000
0.5000 0.0000 0.0000
0.5000 0.5000 0.5000
0.0000 0.0000 0.0000
```

Summary:
Crystal system ... cubic
Space group ... No. 221
Mass density ... 5.017 g cm⁻³

=====

Version two
This record from Alexandria describes a relaxed Sr3RhW crystal. The functional is PBE.

```
Sr3RhW
1.0
5.6755 0.0000 0.0000
0.0000 5.6755 0.0000
0.0000 0.0000 5.6755
Sr Rh W
3 1 1
direct
0.0000 0.0000 0.5000
0.0000 0.5000 0.0000
0.5000 0.0000 0.0000
0.0000 0.0000 0.0000
0.5000 0.5000 0.5000
```

Summary:
Crystal system ... cubic
Space group ... No. 221
Mass density ... 4.992 g cm⁻³

=====

Name the least stable of them. version one.

=====

Version one
This record from Alexandria describes a relaxed Sr2Rh2W crystal. The functional is PBE.

```
Sr2Rh2W
1.0
6.6842 0.0000 0.0000
0.0000 6.6842 0.0000
0.0000 0.0000 5.1135
Sr Rh W
4 4 2
direct
0.1790 0.3210 0.0000
0.3210 0.8210 0.0000
0.6790 0.1790 0.0000
0.8210 0.6790 0.0000
0.1420 0.6420 0.5000
0.3580 0.1420 0.5000
0.6420 0.8580 0.5000
0.8580 0.3580 0.5000
0.0000 0.0000 0.5000
0.5000 0.5000 0.5000
```

Summary:
Crystal system ... tetragonal
Space group ... No. 127
Mass density ... 8.212 g cm⁻³

=====

Version two
This record from Alexandria describes a relaxed Sr2Rh2W crystal. The functional is PBE.

```
Sr2Rh2W
1.0
-1.7493 1.7493 10.1626
1.7493 -1.7493 10.1626
1.7493 1.7493 -10.1626
Sr Rh W
2 2 1
direct
0.1159 0.1159 0.0000
0.8841 0.8841 0.0000
0.2500 0.7500 0.5000
0.7500 0.2500 0.5000
0.5000 0.5000 0.0000
```

Summary:
Crystal system ... tetragonal
Space group ... No. 139
Mass density ... 7.541 g cm⁻³

=====

Name the least stable of them. version two.

=====

Version one
This record from Alexandria describes a relaxed SrYRh crystal. The functional is PBE.

```
SrYRh
1.0
0.0000 3.5175 3.5175
3.5175 0.0000 3.5175
3.5175 3.5175 0.0000
Sr Y Rh
1 1 1
direct
0.0000 0.0000 0.0000
0.5000 0.5000 0.5000
0.2500 0.2500 0.2500
```

Summary:
Crystal system ... cubic
Space group ... No. 216
Mass density ... 5.331 g cm⁻³

=====

Version two
This record from Alexandria describes a relaxed SrYRh crystal. The functional is PBE.

```
SrYRh
1.0
10.6067 -2.4964 0.0000
10.6067 2.4964 0.0000
-0.2994 0.0000 7.6166
Sr Y Rh
4 4 4
direct
0.0766 0.0766 0.3128
0.4109 0.4109 0.1636
0.5891 0.5891 0.8364
0.9234 0.9234 0.6872
0.2100 0.2100 0.6139
0.2316 0.2316 0.1300
0.7684 0.7684 0.8700
0.7900 0.7900 0.3861
0.3201 0.3201 0.8396
0.3334 0.3334 0.4866
0.6666 0.6666 0.5134
0.6799 0.6799 0.1604
```

Summary:
Crystal system ... monoclinic
Space group ... No. 12
Mass density ... 4.601 g cm⁻³

=====

Version three
This record from Alexandria describes a relaxed SrYRh crystal. The functional is PBE.

```
SrYRh
1.0
4.1095 0.0000 0.0000
-2.0548 3.5589 0.0000
0.0000 0.0000 6.7370
Sr Y Rh
1 1 1
direct
0.0000 0.0000 0.0000
0.6667 0.3333 0.5250
0.3333 0.6667 0.7230
```

Summary:
Crystal system ... trigonal
Space group ... No. 156
Mass density ... 4.709 g cm⁻³

=====

Version four
This record from Alexandria describes a relaxed SrYRh crystal. The functional is PBE.

```
SrYRh
1.0
-1.7720 1.7720 6.8822
1.7720 -1.7720 6.8822
1.7720 1.7720 -6.8822
Sr Y Rh
1 1 1
direct
0.0000 0.0000 0.0000
0.2530 0.2530 0.0000
0.6510 0.6510 0.0000
```

Summary:
Crystal system ... tetragonal
Space group ... No. 107
Mass density ... 5.368 g cm⁻³

=====

Name the least stable of them. version one.